Entry 1:
The following is a PBE-GGA calculation of a relaxed Sc6Mn2Sn crystal, from the Alexandria database.

## Properties
* Fermi-level density of states: 0.947 states/eV per atom
* M_tot: 6.317 Bohr magnetons per cell
* formation enthalpy at 0 K: -5.09 kcal/mol of atoms
* total energy: -6.9243 eV per atom

Cell lengths 8.9448, 8.9734, 9.3400 Å; angles 90.00, 90.00, 90.00 degrees
With the nearest neighbours (Å) after each atom.
Space group Immm (No. 71)
Symmetry-distinct sites (fractional):
Sc (0.0000, 0.2086, 0.1880) x8  3 Mn 2.64-2.78
Sc (0.1909, 0.2122, 0.5000) x8  3 Mn 2.76-3.09
Sc (0.2229, 0.5000, 0.2645) x8  2 Mn 2.61-2.86
Mn (0.0000, 0.0000, 0.3880) x4  1 Mn 2.09
Mn (0.1202, 0.0000, 0.0000) x4  1 Mn 2.15
Sn (0.0000, 0.5000, 0.0000) x2  12 Sc 3.15-3.36
Sn (0.0000, 0.5000, 0.5000) x2  8 Sc 2.97-3.10


Entry 2:
The following is a PBE-GGA calculation of a relaxed UMnTc2P2 crystal, from the Alexandria database.

## Properties
* Fermi-level density of states: 0.823 states/eV per atom
* M_tot: 0.751 Bohr magnetons per cell
* formation enthalpy at 0 K: -11.18 kcal/mol of atoms
* total energy: -9.1530 eV per atom

Cell lengths 3.9750, 7.1426, 6.1755 Å; angles 90.00, 90.00, 90.00 degrees
With the nearest neighbours (Å) after each atom.
Space group Pmc2_1 (No. 26)
Symmetry-distinct sites (fractional):
U (0.0000, 0.0442, 0.0000) x2  5 P 2.74-2.83, 2 Mn 2.76, 2 Tc 2.81-3.07
Mn (0.5000, 0.1882, 0.6556) x2  4 P 2.34-2.61
Tc (0.0000, 0.3326, 0.3683) x2  4 P 2.32-2.40
Tc (0.5000, 0.4217, 0.0246) x2  3 P 2.43-2.66
P (0.0000, 0.3599, 0.7475) x2  2 Tc 2.32-2.35, 2 Mn 2.40
P (0.5000, 0.1616, 0.2777) x2  2 Mn 2.34-2.61, 3 Tc 2.40-2.43


Entry 3:
The following is a PBE-GGA calculation of a relaxed CrIrPb2 crystal, from the Alexandria database.

## Properties
* energy relative to the lowest polymorph listed for this composition: 301 meV per atom
* Fermi-level density of states: 0.553 states/eV per atom
* M_tot: 7.894 Bohr magnetons per cell
* formation enthalpy at 0 K: 12.88 kcal/mol of atoms
* total energy: -5.9169 eV per atom

Cell lengths 8.9876, 3.4103, 5.6116 Å; angles 90.00, 101.67, 90.00 degrees
With the nearest neighbours (Å) after each atom.
Space group C2/m (No. 12)
Symmetry-distinct sites (fractional):
Cr (0.0000, 0.0000, 0.0000) x2  6 Pb 2.86-3.01
Ir (0.0000, 0.5000, 0.5000) x2  6 Pb 2.88-2.90
Pb (0.2424, 0.0000, 0.7397) x4  3 Cr 2.86-3.01, 3 Ir 2.88-2.90


Entry 4:
The following is a PBE-GGA calculation of a relaxed MnFe2CoAu crystal, from the Alexandria database.

## Properties
* energy relative to the lowest polymorph listed for this composition: 102 meV per atom
* Fermi-level density of states: 1.100 states/eV per atom
* M_tot: 11.918 Bohr magnetons per cell
* formation enthalpy at 0 K: 21.90 kcal/mol of atoms
* total energy: -6.3462 eV per atom

Cell lengths 4.2884, 4.2884, 4.8017 Å; angles 90.00, 90.00, 90.00 degrees
With the nearest neighbours (Å) after each atom.
Space group P4/mmm (No. 123)
Symmetry-distinct sites (fractional):
Mn (0.0000, 0.0000, 0.0000) x1  4 Au 3.03, 8 Fe 3.22
Fe (0.0000, 0.5000, 0.5000) x2  2 Co 2.14
Co (0.5000, 0.5000, 0.5000) x1  4 Fe 2.14, 2 Au 2.40
Au (0.5000, 0.5000, 0.0000) x1  2 Co 2.40


Entry 5:
The following is a PBE-GGA calculation of a relaxed K2PrCu3F12 crystal, from the Alexandria database.

## Properties
* energy relative to the elements, uncorrected: -2374 meV per atom
* Fermi-level density of states: 0.121 states/eV per atom
* M_tot: 12.060 Bohr magnetons per cell
* total energy: -4.6917 eV per atom

Cell lengths 7.6082, 7.6082, 15.9417 Å; angles 90.00, 90.00, 120.00 degrees
With the nearest neighbours (Å) after each atom.
Space group R-3m (No. 166, hexagonal axes)
Symmetry-distinct sites (fractional):
K (0.0000, 0.0000, 0.1127) x6  3 F 2.59
Pr (0.0000, 0.0000, 0.5000) x3  12 F 2.48-2.77
Cu (0.0000, 0.5000, 0.0000) x9  6 F 1.92-2.01
F (0.0258, 0.5129, 0.8800) x18  1 Cu 1.92
F (0.0885, 0.5442, 0.3078) x18  2 Cu 2.01


Entry 6:
The following is a PBE-GGA calculation of a relaxed MgSi2H8 crystal, from the Alexandria database.

## Properties
* energy relative to the lowest polymorph listed for this composition: 47 meV per atom
* M_tot: 0.000 Bohr magnetons per cell
* total energy: -3.4157 eV per atom

Cell lengths 8.4022, 4.7463, 5.8901 Å; angles 90.00, 117.60, 90.00 degrees
With the nearest neighbours (Å) after each atom.
Space group C2/m (No. 12)
Symmetry-distinct sites (fractional):
Mg (0.0000, 0.0000, 0.0000) x2  6 H 2.04-2.12
Si (0.1533, 0.0000, 0.6585) x4  3 H 1.52-1.56
H (0.1139, 0.2390, 0.8071) x8  1 Si 1.56
H (0.1431, 0.5000, 0.1815) x4  1 Si 1.52
H (0.1787, 0.0000, 0.3799) x4  1 Si 1.75


Entry 7:
The following is a PBE-GGA calculation of a relaxed Ni2RhSe4 crystal, from the Alexandria database.

## Properties
* energy relative to the elements, uncorrected: 261 meV per atom
* Fermi-level density of states: 1.282 states/eV per atom
* M_tot: 0.014 Bohr magnetons per cell
* total energy: -4.4326 eV per atom

Cell lengths 4.8997, 4.8997, 11.7112 Å; angles 90.00, 90.00, 90.00 degrees
With the nearest neighbours (Å) after each atom.
Space group I4/mmm (No. 139)
Symmetry-distinct sites (fractional):
Ni (0.0000, 0.0000, 0.0984) x4  1 Se 2.18, 1 Ni 2.30
Rh (0.0000, 0.0000, 0.5000) x2  6 Se 2.45-2.52
Se (0.0000, 0.0000, 0.2846) x4  1 Ni 2.18
Se (0.0000, 0.5000, 0.0000) x4  2 Rh 2.45, 4 Ni 2.71


Entry 8:
The following is a PBE-GGA calculation of a relaxed Y3Ni2Sn4 crystal, from the Alexandria database.

## Properties
* Fermi-level density of states: 0.553 states/eV per atom
* M_tot: 0.000 Bohr magnetons per cell
* formation enthalpy at 0 K: -14.95 kcal/mol of atoms
* total energy: -5.8666 eV per atom

Cell lengths 11.2968, 4.4319, 8.5402 Å; angles 90.00, 104.82, 90.00 degrees
With the nearest neighbours (Å) after each atom.
Space group C2/m (No. 12)
Symmetry-distinct sites (fractional):
Y (0.0000, 0.0000, 0.0000) x2  6 Sn 3.14-3.19
Y (0.1279, 0.5000, 0.6884) x4  3 Ni 2.85-3.11
Ni (0.2039, 0.5000, 0.3942) x4  4 Sn 2.57-2.61, 1 Y 2.85, 2 Ni 2.88
Sn (0.0869, 0.0000, 0.3863) x4  3 Ni 2.57-2.61
Sn (0.2033, 0.5000, 0.0879) x4  1 Ni 2.61


Entry 9:
The following is a PBE-GGA calculation of a relaxed Na12InAg6 crystal, from the Alexandria database.

## Properties
* Fermi-level density of states: 0.374 states/eV per atom
* M_tot: 0.000 Bohr magnetons per cell
* formation enthalpy at 0 K: -0.46 kcal/mol of atoms
* total energy: -1.8977 eV per atom

Cell lengths 11.0223, 11.0223, 14.1892 Å; angles 90.00, 90.00, 120.00 degrees
With the nearest neighbours (Å) after each atom.
Space group R-3 (No. 148, hexagonal axes)
Symmetry-distinct sites (fractional):
Na (0.0351, 0.1952, 0.3135) x18  2 Na 3.03-3.33, 3 Ag 3.19-3.26, 1 In 3.31
Na (0.0568, 0.8344, 0.9126) x18  4 Ag 3.15-3.47, 5 Na 3.31-3.43
In (0.0000, 0.0000, 0.5000) x3  6 Ag 2.93
Ag (0.0424, 0.4485, 0.1996) x18  1 In 2.93, 2 Ag 3.04, 5 Na 3.15-3.26


Entry 10:
The following is a PBE-GGA calculation of a relaxed Ac2HgOs crystal, from the Alexandria database.

## Properties
* Fermi-level density of states: 1.121 states/eV per atom
* M_tot: 0.002 Bohr magnetons per cell
* formation enthalpy at 0 K: -1.90 kcal/mol of atoms
* total energy: -5.0197 eV per atom

Cell lengths 3.7298, 3.7298, 8.4182 Å; angles 90.00, 90.00, 90.00 degrees
With the nearest neighbours (Å) after each atom.
Space group P4/mmm (No. 123)
Symmetry-distinct sites (fractional):
Ac (0.0000, 0.0000, 0.2152) x2  4 Os 3.20, 4 Hg 3.56
Hg (0.5000, 0.5000, 0.5000) x1  8 Ac 3.56, 4 Hg 3.73
Os (0.5000, 0.5000, 0.0000) x1  8 Ac 3.20